# CePaPt2 | Alexandria via LeMat-Bulk | PBE | relaxed
data_CePaPt2
_chemical_formula_sum 'Ce1 Pa1 Pt2'
_cell_length_a 4.528
_cell_length_b 4.528
_cell_length_c 4.133
_cell_angle_alpha 90.00
_cell_angle_beta 90.00
_cell_angle_gamma 90.00
_space_group_name_H-M_alt 'P 4/m m m'
_space_group_IT_number 123
_space_group_name_Hall '-P 4 2'
loop_
_atom_site_label
_atom_site_type_symbol
_atom_site_fract_x
_atom_site_fract_y
_atom_site_fract_z
Ce1 Ce 0.000 0.000 0.000
Pa1 Pa 0.500 0.500 0.000
Pt1 Pt 0.000 0.500 0.500
# E_form (eV/atom): -0.786
# Distance to the lowest polymorph of the same formula (meV/atom): 212.6
# M_tot (μB/f.u.): 0.001


# Ir8PtRh2 | Alexandria via LeMat-Bulk | PBE | relaxed
data_Ir8PtRh2
_chemical_formula_sum 'Ir16 Pt2 Rh4'
_cell_length_a 6.926
_cell_length_b 12.169
_cell_length_c 4.712
_cell_angle_alpha 90.00
_cell_angle_beta 120.50
_cell_angle_gamma 90.00
_space_group_name_H-M_alt 'C 1 2/m 1'
_space_group_IT_number 12
_space_group_name_Hall '-C 2y'
loop_
_atom_site_label
_atom_site_type_symbol
_atom_site_fract_x
_atom_site_fract_y
_atom_site_fract_z
Ir1 Ir 0.000 0.217 0.000
Ir2 Ir 0.068 0.500 0.799
Ir3 Ir 0.212 0.118 0.669
Pt1 Pt 0.000 0.000 0.000
Rh1 Rh 0.000 0.309 0.500
# E_form (eV/atom): 0.373
# M_tot (μB/f.u.): 0.000


Which of these has the highest E_form?
Ir8PtRh2


Look up the E_form of the first one.
-0.786 eV/atom


E_form of number 1 (CePaPt2)?
-0.786 eV/atom